# 1
Material: Rb3NdU2S6
Method: DFT, PBE-GGA
State: relaxed

a b c (Å): 7.1453 7.1453 8.0976
angles (deg): 98.47 98.47 119.99
Last column: magnetic moment on the atom in μB.
Sites, in units of the cell vectors:
Rb 0.1645 0.8355 0.5000  0.01
Rb 0.8355 0.1645 0.5000  0.01
Rb 0.5000 0.5000 0.5000  0.01
Nd 0.0000 0.0000 0.0000  0.15
U 0.3331 0.6669 0.0000  2.59
U 0.6669 0.3331 0.0000  2.59
S 0.9348 0.5917 0.8048  -0.05
S 0.7216 0.7216 0.1946  -0.05
S 0.0652 0.4083 0.1952  -0.05
S 0.5917 0.9348 0.8048  -0.05
S 0.2784 0.2784 0.8054  -0.05
S 0.4083 0.0652 0.1952  -0.05

Properties
* crystal system: monoclinic
* raw total energy: -73.02 eV for the cell shown

# 2
Material: Mg2ScSbCl
Method: DFT, PBE-GGA
State: relaxed

a b c (Å): 4.6089 6.2690 4.6089
angles (deg): 90.00 90.00 90.00
Sites, in units of the cell vectors:
Sc 0.5000 0.5000 0.5000
Sb 0.0000 0.5000 0.0000
Mg 0.0000 0.0000 0.5000
Mg 0.5000 0.0000 0.0000
Cl 0.0000 0.0000 0.0000

Properties
* crystal system: tetragonal
* raw total energy: -15.39 eV for the cell shown

# 3
Material: MgCr2Cu
Method: DFT, PBE-GGA
State: relaxed

a b c (Å): 4.3464 3.4655 3.4655
angles (deg): 90.00 90.00 90.00
Sites, in units of the cell vectors:
Cr 0.0000 0.0000 0.0000
Cr 0.0000 0.5000 0.5000
Cu 0.5000 0.5000 0.0000
Mg 0.5000 0.0000 0.5000

Properties
* crystal system: tetragonal
* raw total energy: -23.37 eV for the cell shown

# 4
Material: BPb
Method: DFT, PBE-GGA
State: relaxed

a b c (Å): 5.5203 5.5203 5.5203
angles (deg): 90.00 90.00 90.00
Sites, in units of the cell vectors:
B 0.2500 0.2500 0.2500
B 0.2500 0.7500 0.7500
B 0.7500 0.2500 0.7500
B 0.7500 0.7500 0.2500
Pb 0.0000 0.0000 0.0000
Pb 0.0000 0.5000 0.5000
Pb 0.5000 0.0000 0.5000
Pb 0.5000 0.5000 0.0000

Properties
* E above lowest polymorph: 344 meV per atom
* crystal system: cubic

# 5
Material: InFeBr4
Method: DFT, PBE-GGA
State: relaxed

a b c (Å): 6.6955 6.6955 13.0462
angles (deg): 90.00 90.00 90.00
Last column: magnetic moment on the atom in μB.
Sites, in units of the cell vectors:
In 0.0000 0.0000 0.0000  0.06
In 0.0000 0.0000 0.5000  0.06
Fe 0.0000 0.5000 0.2500  3.64
Fe 0.5000 0.0000 0.7500  3.64
Br 0.3032 0.2143 0.8527  0.20
Br 0.6968 0.7857 0.8527  0.20
Br 0.2143 0.3032 0.3527  0.20
Br 0.3032 0.7857 0.6473  0.20
Br 0.6968 0.2143 0.6473  0.20
Br 0.2143 0.6968 0.1473  0.20
Br 0.7857 0.3032 0.1473  0.20
Br 0.7857 0.6968 0.3527  0.20

Properties
* E above lowest polymorph: 0 meV per atom
* crystal system: tetragonal

# 6
Material: CsRb2O
Method: DFT, PBE-GGA
State: relaxed

a b c (Å): 4.5282 4.5282 11.9031
angles (deg): 79.04 79.04 60.00
Last column: magnetic moment on the atom in μB.
Sites, in units of the cell vectors:
Cs 0.5025 0.5025 0.4924  0.00
Rb 0.0342 0.0342 0.8973  0.00
Rb 0.2976 0.2976 0.1072  0.00
O 0.6656 0.6656 0.0032  0.07

Properties
* crystal system: trigonal
* raw total energy: -10.11 eV for the cell shown

# 7
Material: Tb4In5Pt2
Method: DFT, PBE-GGA
State: relaxed

a b c (Å): 3.6561 7.7429 9.7355
angles (deg): 94.25 90.00 90.00
Sites, in units of the cell vectors:
Tb 0.5000 0.7778 0.5604
Tb 0.5000 0.1785 0.8567
Tb 0.5000 0.2222 0.4396
Tb 0.5000 0.8215 0.1433
In 0.0000 0.5446 0.3222
In 0.0000 0.1730 0.1485
In 0.0000 0.5000 0.0000
In 0.0000 0.8270 0.8515
In 0.0000 0.4554 0.6778
Pt 0.0000 0.0745 0.6395
Pt 0.0000 0.9255 0.3605

Properties
* crystal system: monoclinic
* raw total energy: -52.43 eV for the cell shown

# 8
Material: KTlRu
Method: DFT, PBE-GGA
State: relaxed

a b c (Å): 6.6858 6.6858 6.6858
angles (deg): 152.51 142.35 47.25
Sites, in units of the cell vectors:
K 0.0004 0.0004 0.0000
Ru 0.2688 0.2688 0.0000
Tl 0.7308 0.7308 0.0000

Properties
* E above lowest polymorph: 0 meV per atom
* crystal system: orthorhombic

# 9
Material: Cs4TaSb4
Method: DFT, PBE-GGA
State: relaxed

a b c (Å): 7.9038 9.6018 7.9038
angles (deg): 65.70 90.00 114.30
Last column: magnetic moment on the atom in μB.
Sites, in units of the cell vectors:
Cs 0.1585 0.7120 0.4464  0.02
Cs 0.5536 0.7120 0.8415  0.02
Cs 0.4464 0.2880 0.5536  0.02
Cs 0.8415 0.2880 0.1585  0.02
Ta 0.0000 0.0000 0.0000  -0.27
Sb 0.2932 0.1991 0.0941  0.28
Sb 0.9059 0.1991 0.7068  0.28
Sb 0.0941 0.8009 0.9059  0.28
Sb 0.7068 0.8009 0.2932  0.28

Properties
* crystal system: tetragonal
* raw total energy: -33.35 eV for the cell shown

# 10
Material: KMg2CoSe
Method: DFT, PBE-GGA
State: relaxed

a b c (Å): 4.9768 4.7453 4.9768
angles (deg): 90.00 90.00 90.00
Last column: magnetic moment on the atom in μB.
Sites, in units of the cell vectors:
K 0.5000 0.5000 0.5000  0.00
Co 0.0000 0.0000 0.0000  0.56
Mg 0.0000 0.0000 0.5000  -0.01
Mg 0.5000 0.0000 0.0000  -0.01
Se 0.0000 0.5000 0.0000  0.05

Properties
* crystal system: tetragonal
* raw total energy: -15.22 eV for the cell shown

# 11
Material: LiIn2Br2
Method: DFT, PBE-GGA
State: relaxed

a b c (Å): 5.5067 5.5067 7.4477
angles (deg): 68.30 68.30 90.00
Last column: magnetic moment on the atom in μB.
Sites, in units of the cell vectors:
Li 0.0000 0.0000 0.0000  0.07
Br 0.7500 0.2500 0.5000  0.03
Br 0.2500 0.7500 0.5000  0.03
In 0.3677 0.3677 0.2645  0.05
In 0.6323 0.6323 0.7355  0.05

Properties
* E above lowest polymorph: 117 meV per atom
* crystal system: tetragonal

# 12
Material: Ag6Pd2Au
Method: DFT, PBE-GGA
State: relaxed

a b c (Å): 4.0530 8.7589 8.7560
angles (deg): 90.00 89.96 90.00
Sites, in units of the cell vectors:
Ag 0.0000 0.0001 0.1679
Ag 0.0000 0.6678 0.5001
Ag 0.0000 0.6674 0.8326
Ag 0.5000 0.1674 0.6674
Ag 0.5000 0.1678 0.9999
Ag 0.5000 0.5001 0.3321
Ag 0.0000 0.9999 0.8321
Ag 0.0000 0.3322 0.4999
Ag 0.0000 0.3326 0.1674
Ag 0.5000 0.8326 0.3326
Ag 0.5000 0.8322 0.0001
Ag 0.5000 0.4999 0.6679
Pd 0.0000 0.3345 0.8345
Pd 0.5000 0.8345 0.6655
Pd 0.5000 0.1655 0.3345
Pd 0.0000 0.6655 0.1655
Au 0.5000 0.5000 0.0000
Au 0.0000 0.0000 0.5000

Properties
* E above lowest polymorph: 0 meV per atom
* crystal system: tetragonal